No. 1
This record from Alexandria describes crystalline AcSm2Ge4 at its relaxed geometry. The functional is PBE.

The uncorrected energy comes out at -5.33 eV/atom. The formation energy is -0.758 eV per atom. Its density of states at the Fermi level is 0.5064 states/eV per atom.

The structure belongs to space group Immm (No. 71); the cell edges are 4.1422, 4.5351 and 18.6664 Å and the angles 90.00°, 90.00° and 90.00°. The inequivalent atoms are Ac at (0.0000, 0.0000, 0.0000), Sm at (0.0000, 0.5000, 0.3185), Ge at (0.0000, 0.0000, 0.4299) and Ge at (0.0000, 0.5000, 0.1582).



No. 2
This record from Alexandria describes crystalline BaNd2In2Hg2 at its relaxed geometry. The functional is PBE.

The uncorrected energy comes out at -2.88 eV/atom. The formation energy is -0.373 eV per atom. Its density of states at the Fermi level is 0.4768 states/eV per atom.

The structure belongs to space group R-3m (No. 166, hexagonal axes); the cell edges are 5.0995, 5.0995 and 30.1217 Å and the angles 90.00°, 90.00° and 120.00°. The inequivalent atoms are Ba at (0.0000, 0.0000, 0.0000), Nd at (0.0000, 0.0000, 0.1326), In at (0.0000, 0.0000, 0.2535) and Hg at (0.0000, 0.0000, 0.4287).